{
  "formula": "CsHS2O6F2",
  "functional": "meta-GGA SCAN",
  "state": "single point on PBEsol structure",
  "magmom_total_mub_per_cell": 0.00,
  "dft_energy_ev_per_atom": -10.511,
  "lattice_angstrom": [[6.746, -3.841, 0.000], [6.746, 3.841, 0.000], [-5.943, 0.000, 7.386]],
  "species": ["Cs", "Cs", "H", "H", "S", "S", "S", "S", "O", "O", "O", "O", "O", "O", "O", "O", "O", "O", "O", "O", "F", "F", "F", "F"],
  "fractional_positions": [[0.114, 0.886, 0.750], [0.886, 0.114, 0.250], [0.000, 0.500, 0.000], [0.500, 0.000, 0.500], [0.171, 0.485, 0.283], [0.485, 0.171, 0.783], [0.515, 0.829, 0.217], [0.829, 0.515, 0.717], [0.060, 0.393, 0.083], [0.130, 0.714, 0.356], [0.162, 0.395, 0.376], [0.286, 0.870, 0.144], [0.393, 0.060, 0.583], [0.395, 0.162, 0.876], [0.605, 0.838, 0.124], [0.607, 0.940, 0.417], [0.714, 0.130, 0.856], [0.838, 0.605, 0.624], [0.870, 0.286, 0.644], [0.940, 0.607, 0.917], [0.384, 0.418, 0.801], [0.418, 0.384, 0.301], [0.582, 0.616, 0.699], [0.616, 0.582, 0.199]]
}

{
  "formula": "TiBe2Re2",
  "functional": "meta-GGA SCAN",
  "state": "single point on PBEsol structure",
  "magmom_total_mub_per_cell": 0.00,
  "e_form_mev_per_atom": -492,
  "lattice_angstrom": [[6.067, 0.000, 0.000], [0.000, 6.067, 0.000], [0.000, 0.000, 3.152]],
  "species": ["Ti", "Ti", "Be", "Be", "Be", "Be", "Re", "Re", "Re", "Re"],
  "fractional_positions": [[0.000, 0.000, 0.000], [0.500, 0.500, 0.000], [0.117, 0.383, 0.000], [0.383, 0.883, 0.000], [0.617, 0.117, 0.000], [0.883, 0.617, 0.000], [0.176, 0.676, 0.500], [0.324, 0.176, 0.500], [0.676, 0.824, 0.500], [0.824, 0.324, 0.500]]
}

{
  "formula": "KNaLaTaO5",
  "functional": "meta-GGA SCAN",
  "state": "single point on PBEsol structure",
  "magmom_total_mub_per_cell": 0.00,
  "e_form_raw_ev_per_atom": -3.009,
  "lattice_angstrom": [[5.772, 0.000, 0.000], [0.000, 5.772, 0.000], [0.000, 0.000, 8.276]],
  "species": ["K", "K", "Na", "Na", "La", "La", "Ta", "Ta", "O", "O", "O", "O", "O", "O", "O", "O", "O", "O"],
  "fractional_positions": [[0.250, 0.750, 0.000], [0.750, 0.250, 0.000], [0.250, 0.250, 0.241], [0.750, 0.750, 0.759], [0.250, 0.750, 0.500], [0.750, 0.250, 0.500], [0.250, 0.250, 0.745], [0.750, 0.750, 0.255], [0.021, 0.021, 0.674], [0.021, 0.479, 0.674], [0.250, 0.250, 0.968], [0.479, 0.021, 0.674], [0.479, 0.479, 0.674], [0.521, 0.521, 0.326], [0.521, 0.979, 0.326], [0.750, 0.750, 0.032], [0.979, 0.521, 0.326], [0.979, 0.979, 0.326]]
}

{
  "formula": "Te2PbNF",
  "functional": "meta-GGA SCAN",
  "state": "single point on PBEsol structure",
  "polymorph_energy_mev_per_atom": 434,
  "magmom_total_mub_per_cell": 4.52,
  "e_form_raw_ev_per_atom": 1.029,
  "lattice_angstrom": [[5.892, 0.000, 0.000], [0.000, 5.892, 0.000], [0.000, 0.000, 4.225]],
  "species": ["Te", "Te", "Pb", "N", "F"],
  "fractional_positions": [[0.000, 0.500, 0.000], [0.500, 0.000, 0.000], [0.000, 0.000, 0.000], [0.000, 0.000, 0.500], [0.500, 0.500, 0.500]]
}

{
  "formula": "LiMg2Au2",
  "functional": "meta-GGA SCAN",
  "state": "single point on PBEsol structure",
  "polymorph_energy_mev_per_atom": 0,
  "magmom_total_mub_per_cell": 0.00,
  "e_form_mev_per_atom": -664,
  "lattice_angstrom": [[7.510, 0.000, 0.000], [0.000, 7.510, 0.000], [0.000, 0.000, 3.257]],
  "species": ["Li", "Li", "Mg", "Mg", "Mg", "Mg", "Au", "Au", "Au", "Au"],
  "fractional_positions": [[0.000, 0.000, 0.000], [0.500, 0.500, 0.000], [0.156, 0.344, 0.500], [0.344, 0.844, 0.500], [0.656, 0.156, 0.500], [0.844, 0.656, 0.500], [0.142, 0.642, 0.000], [0.358, 0.142, 0.000], [0.642, 0.858, 0.000], [0.858, 0.358, 0.000]]
}

{
  "formula": "YRuBr",
  "functional": "meta-GGA SCAN",
  "state": "single point on PBEsol structure",
  "magmom_total_mub_per_cell": 0.00,
  "e_form_raw_ev_per_atom": -0.085,
  "lattice_angstrom": [[6.278, 0.000, 0.000], [0.000, 6.278, 0.000], [0.000, 0.000, 6.278]],
  "species": ["Y", "Y", "Y", "Y", "Ru", "Ru", "Ru", "Ru", "Br", "Br", "Br", "Br"],
  "fractional_positions": [[0.000, 0.000, 0.000], [0.000, 0.500, 0.500], [0.500, 0.000, 0.500], [0.500, 0.500, 0.000], [0.250, 0.250, 0.250], [0.250, 0.750, 0.750], [0.750, 0.250, 0.750], [0.750, 0.750, 0.250], [0.000, 0.000, 0.500], [0.000, 0.500, 0.000], [0.500, 0.000, 0.000], [0.500, 0.500, 0.500]]
}

{
  "formula": "FePH6NO5",
  "functional": "meta-GGA SCAN",
  "state": "single point on PBEsol structure",
  "magmom_total_mub_per_cell": 8.00,
  "dft_energy_ev_per_atom": -7.734,
  "lattice_angstrom": [[4.794, 0.000, 0.000], [0.000, 8.795, 0.000], [-4.259, 0.000, 5.627]],
  "species": ["Fe", "Fe", "P", "P", "H", "H", "H", "H", "H", "H", "H", "H", "H", "H", "H", "H", "N", "N", "O", "O", "O", "O", "O", "O", "O", "O", "O", "O"],
  "fractional_positions": [[0.000, 0.021, 0.000], [0.000, 0.979, 0.500], [0.547, 0.197, 0.491], [0.547, 0.803, 0.991], [0.191, 0.389, 0.095], [0.191, 0.611, 0.595], [0.285, 0.464, 0.484], [0.285, 0.536, 0.984], [0.466, 0.197, 0.820], [0.466, 0.803, 0.320], [0.612, 0.179, 0.095], [0.612, 0.821, 0.595], [0.917, 0.423, 0.797], [0.917, 0.577, 0.297], [0.924, 0.455, 0.487], [0.924, 0.545, 0.987], [0.083, 0.473, 0.967], [0.083, 0.527, 0.467], [0.250, 0.171, 0.513], [0.250, 0.829, 0.013], [0.455, 0.132, 0.253], [0.455, 0.868, 0.753], [0.619, 0.370, 0.506], [0.619, 0.630, 0.006], [0.682, 0.199, 0.989], [0.682, 0.801, 0.489], [0.884, 0.111, 0.694], [0.884, 0.889, 0.194]]
}

{
  "formula": "Sr2ScZn",
  "functional": "meta-GGA SCAN",
  "state": "single point on PBEsol structure",
  "magmom_total_mub_per_cell": 2.66,
  "e_form_mev_per_atom": 122,
  "lattice_angstrom": [[3.895, 0.000, 0.000], [-1.947, 3.373, 0.000], [0.000, 0.000, 31.191]],
  "species": ["Sr", "Sr", "Sr", "Sr", "Sr", "Sr", "Sc", "Sc", "Sc", "Zn", "Zn", "Zn"],
  "fractional_positions": [[0.000, 0.000, 0.000], [0.000, 0.000, 0.217], [0.333, 0.667, 0.667], [0.333, 0.667, 0.884], [0.667, 0.333, 0.333], [0.667, 0.333, 0.550], [0.000, 0.000, 0.456], [0.333, 0.667, 0.122], [0.667, 0.333, 0.789], [0.000, 0.000, 0.738], [0.333, 0.667, 0.405], [0.667, 0.333, 0.072]]
}

{
  "formula": "SrSi2Sb",
  "functional": "meta-GGA SCAN",
  "state": "single point on PBEsol structure",
  "magmom_total_mub_per_cell": 0.00,
  "e_form_raw_ev_per_atom": -0.013,
  "lattice_angstrom": [[4.372, 0.000, 0.000], [0.000, 4.494, 0.000], [0.000, 0.000, 5.577]],
  "species": ["Sr", "Si", "Si", "Sb"],
  "fractional_positions": [[0.000, 0.000, 0.000], [0.500, 0.500, 0.200], [0.500, 0.500, 0.800], [0.000, 0.500, 0.500]]
}

{
  "formula": "Li10GeP2Se12",
  "functional": "meta-GGA SCAN",
  "state": "single point on PBEsol structure",
  "polymorph_energy_mev_per_atom": 0,
  "magmom_total_mub_per_cell": 0.00,
  "e_form_raw_ev_per_atom": -0.939,
  "lattice_angstrom": [[8.734, 0.000, 0.000], [-0.033, 9.376, 0.000], [-0.066, -0.693, 13.364]],
  "species": ["Li", "Li", "Li", "Li", "Li", "Li", "Li", "Li", "Li", "Li", "Li", "Li", "Li", "Li", "Li", "Li", "Li", "Li", "Li", "Li", "Ge", "Ge", "P", "P", "P", "P", "Se", "Se", "Se", "Se", "Se", "Se", "Se", "Se", "Se", "Se", "Se", "Se", "Se", "Se", "Se", "Se", "Se", "Se", "Se", "Se", "Se", "Se", "Se", "Se"],
  "fractional_positions": [[0.000, 0.000, 0.000], [0.000, 0.978, 0.231], [0.002, 0.036, 0.772], [0.019, 0.462, 0.103], [0.036, 0.482, 0.371], [0.218, 0.221, 0.502], [0.258, 0.765, 0.191], [0.261, 0.788, 0.707], [0.474, 0.482, 0.367], [0.487, 0.476, 0.108], [0.505, 0.985, 0.236], [0.515, 0.998, 0.982], [0.518, 0.528, 0.889], [0.521, 0.028, 0.556], [0.544, 0.538, 0.614], [0.721, 0.222, 0.825], [0.747, 0.239, 0.292], [0.973, 0.925, 0.479], [0.980, 0.524, 0.890], [0.992, 0.546, 0.621], [0.267, 0.756, 0.426], [0.746, 0.268, 0.062], [0.246, 0.737, 0.938], [0.250, 0.222, 0.259], [0.752, 0.789, 0.742], [0.775, 0.271, 0.564], [0.035, 0.752, 0.329], [0.039, 0.195, 0.350], [0.041, 0.718, 0.035], [0.246, 0.564, 0.818], [0.246, 0.950, 0.547], [0.251, 0.444, 0.211], [0.251, 0.952, 0.878], [0.253, 0.051, 0.138], [0.262, 0.541, 0.515], [0.453, 0.197, 0.358], [0.458, 0.725, 0.030], [0.485, 0.752, 0.325], [0.520, 0.281, 0.965], [0.545, 0.810, 0.650], [0.570, 0.262, 0.661], [0.749, 0.040, 0.134], [0.751, 0.085, 0.455], [0.751, 0.563, 0.784], [0.754, 0.458, 0.185], [0.764, 0.954, 0.867], [0.770, 0.474, 0.485], [0.963, 0.821, 0.652], [0.964, 0.275, 0.957], [0.992, 0.265, 0.652]]
}

{
  "formula": "ReAg3Mo",
  "functional": "meta-GGA SCAN",
  "state": "single point on PBEsol structure",
  "magmom_total_mub_per_cell": 3.35,
  "e_form_mev_per_atom": 2650,
  "lattice_angstrom": [[4.854, 0.000, 0.000], [0.000, 4.854, 0.000], [0.000, 0.000, 4.854]],
  "species": ["Re", "Ag", "Ag", "Ag", "Mo"],
  "fractional_positions": [[0.000, 0.000, 0.000], [0.000, 0.500, 0.500], [0.500, 0.000, 0.500], [0.500, 0.500, 0.000], [0.500, 0.500, 0.500]]
}

{
  "formula": "PtI6N2",
  "functional": "meta-GGA SCAN",
  "state": "single point on PBEsol structure",
  "magmom_total_mub_per_cell": 5.38,
  "e_form_raw_ev_per_atom": 1.084,
  "lattice_angstrom": [[0.000, 5.245, 5.245], [5.245, 0.000, 5.245], [5.245, 5.245, 0.000]],
  "species": ["Pt", "I", "I", "I", "I", "I", "I", "N", "N"],
  "fractional_positions": [[0.000, 0.000, 0.000], [0.252, 0.252, 0.748], [0.252, 0.748, 0.252], [0.252, 0.748, 0.748], [0.748, 0.252, 0.252], [0.748, 0.252, 0.748], [0.748, 0.748, 0.252], [0.250, 0.250, 0.250], [0.750, 0.750, 0.750]]
}

{
  "formula": "Cr2WSe",
  "functional": "meta-GGA SCAN",
  "state": "single point on PBEsol structure",
  "magmom_total_mub_per_cell": 0.00,
  "e_form_raw_ev_per_atom": 0.502,
  "lattice_angstrom": [[2.924, 0.000, 0.000], [0.000, 3.763, 0.000], [0.000, 0.000, 4.893]],
  "species": ["Cr", "Cr", "W", "Se"],
  "fractional_positions": [[0.000, 0.000, 0.236], [0.000, 0.000, 0.764], [0.500, 0.500, 0.500], [0.500, 0.500, 0.000]]
}

{
  "formula": "CoTeI2",
  "functional": "meta-GGA SCAN",
  "state": "single point on PBEsol structure",
  "magmom_total_mub_per_cell": 7.31,
  "e_form_raw_ev_per_atom": 0.933,
  "lattice_angstrom": [[7.375, 0.000, 0.000], [0.000, 7.375, 0.000], [0.000, 0.000, 7.375]],
  "species": ["Co", "Co", "Co", "Co", "Te", "Te", "Te", "Te", "I", "I", "I", "I", "I", "I", "I", "I"],
  "fractional_positions": [[0.000, 0.000, 0.000], [0.000, 0.500, 0.500], [0.500, 0.000, 0.500], [0.500, 0.500, 0.000], [0.000, 0.000, 0.500], [0.000, 0.500, 0.000], [0.500, 0.000, 0.000], [0.500, 0.500, 0.500], [0.250, 0.250, 0.250], [0.250, 0.250, 0.750], [0.250, 0.750, 0.250], [0.250, 0.750, 0.750], [0.750, 0.250, 0.250], [0.750, 0.250, 0.750], [0.750, 0.750, 0.250], [0.750, 0.750, 0.750]]
}

{
  "formula": "HfPd3C",
  "functional": "meta-GGA SCAN",
  "state": "single point on PBEsol structure",
  "magmom_total_mub_per_cell": 0.00,
  "e_form_mev_per_atom": 45,
  "lattice_angstrom": [[4.158, 0.000, 0.000], [0.000, 4.158, 0.000], [0.000, 0.000, 4.158]],
  "species": ["Hf", "Pd", "Pd", "Pd", "C"],
  "fractional_positions": [[0.000, 0.000, 0.000], [0.000, 0.500, 0.500], [0.500, 0.000, 0.500], [0.500, 0.500, 0.000], [0.500, 0.500, 0.500]]
}

{
  "formula": "CaCdPt2",
  "functional": "meta-GGA SCAN",
  "state": "single point on PBEsol structure",
  "magmom_total_mub_per_cell": 0.00,
  "e_form_mev_per_atom": -681,
  "lattice_angstrom": [[4.266, 0.000, 0.000], [0.000, 4.266, 0.000], [0.000, 0.000, 3.896]],
  "species": ["Ca", "Cd", "Pt", "Pt"],
  "fractional_positions": [[0.000, 0.000, 0.000], [0.500, 0.500, 0.000], [0.000, 0.500, 0.500], [0.500, 0.000, 0.500]]
}

{
  "formula": "TcSb2Rh",
  "functional": "meta-GGA SCAN",
  "state": "single point on PBEsol structure",
  "polymorph_energy_mev_per_atom": 0,
  "magmom_total_mub_per_cell": 0.00,
  "e_form_raw_ev_per_atom": 0.030,
  "lattice_angstrom": [[3.184, 0.000, 0.000], [-1.592, 2.757, 0.000], [0.000, 0.000, 24.120]],
  "species": ["Tc", "Tc", "Tc", "Sb", "Sb", "Sb", "Sb", "Sb", "Sb", "Rh", "Rh", "Rh"],
  "fractional_positions": [[0.000, 0.000, 0.000], [0.333, 0.667, 0.667], [0.667, 0.333, 0.333], [0.000, 0.000, 0.251], [0.000, 0.000, 0.749], [0.333, 0.667, 0.416], [0.333, 0.667, 0.917], [0.667, 0.333, 0.083], [0.667, 0.333, 0.584], [0.000, 0.000, 0.500], [0.333, 0.667, 0.167], [0.667, 0.333, 0.833]]
}

{
  "formula": "Tl2Hg",
  "functional": "meta-GGA SCAN",
  "state": "single point on PBEsol structure",
  "polymorph_energy_mev_per_atom": 12,
  "magmom_total_mub_per_cell": 0.00,
  "e_form_mev_per_atom": 2,
  "lattice_angstrom": [[3.956, 0.000, 0.000], [0.000, 15.406, 0.000], [0.000, 0.000, 5.263]],
  "species": ["Tl", "Tl", "Tl", "Tl", "Tl", "Tl", "Tl", "Tl", "Hg", "Hg", "Hg", "Hg"],
  "fractional_positions": [[0.000, 0.080, 0.250], [0.000, 0.243, 0.750], [0.000, 0.757, 0.250], [0.000, 0.920, 0.750], [0.500, 0.257, 0.250], [0.500, 0.420, 0.750], [0.500, 0.580, 0.250], [0.500, 0.743, 0.750], [0.000, 0.417, 0.250], [0.000, 0.583, 0.750], [0.500, 0.083, 0.750], [0.500, 0.917, 0.250]]
}

{
  "formula": "ZrZn2Cd",
  "functional": "meta-GGA SCAN",
  "state": "single point on PBEsol structure",
  "magmom_total_mub_per_cell": 0.00,
  "e_form_mev_per_atom": -175,
  "lattice_angstrom": [[3.025, 0.000, 0.000], [0.000, 3.025, 0.000], [0.000, 0.000, 7.529]],
  "species": ["Zr", "Zn", "Zn", "Cd"],
  "fractional_positions": [[0.000, 0.000, 0.000], [0.000, 0.000, 0.553], [0.500, 0.500, 0.750], [0.500, 0.500, 0.300]]
}

{
  "formula": "Zr5Ir3",
  "functional": "meta-GGA SCAN",
  "state": "single point on PBEsol structure",
  "polymorph_energy_mev_per_atom": 0,
  "magmom_total_mub_per_cell": 0.00,
  "e_form_mev_per_atom": -964,
  "lattice_angstrom": [[7.878, 0.000, 0.000], [-3.939, 6.823, 0.000], [0.000, 0.000, 16.953]],
  "species": ["Zr", "Zr", "Zr", "Zr", "Zr", "Zr", "Zr", "Zr", "Zr", "Zr", "Zr", "Zr", "Zr", "Zr", "Zr", "Zr", "Zr", "Zr", "Zr", "Zr", "Zr", "Zr", "Zr", "Zr", "Zr", "Zr", "Zr", "Zr", "Zr", "Zr", "Ir", "Ir", "Ir", "Ir", "Ir", "Ir", "Ir", "Ir", "Ir", "Ir", "Ir", "Ir", "Ir", "Ir", "Ir", "Ir", "Ir", "Ir"],
  "fractional_positions": [[0.000, 0.249, 0.333], [0.000, 0.751, 0.833], [0.008, 0.238, 0.994], [0.008, 0.770, 0.173], [0.230, 0.238, 0.506], [0.230, 0.992, 0.660], [0.238, 0.008, 0.340], [0.238, 0.230, 0.827], [0.249, 0.000, 0.000], [0.249, 0.249, 0.167], [0.250, 0.625, 0.583], [0.311, 0.655, 0.083], [0.345, 0.655, 0.417], [0.345, 0.689, 0.750], [0.375, 0.625, 0.917], [0.375, 0.750, 0.250], [0.625, 0.250, 0.750], [0.625, 0.375, 0.417], [0.655, 0.311, 0.250], [0.655, 0.345, 0.917], [0.689, 0.345, 0.583], [0.750, 0.375, 0.083], [0.751, 0.000, 0.500], [0.751, 0.751, 0.667], [0.762, 0.770, 0.327], [0.762, 0.992, 0.840], [0.770, 0.008, 0.160], [0.770, 0.762, 0.006], [0.992, 0.230, 0.673], [0.992, 0.762, 0.494], [0.000, 0.385, 0.833], [0.000, 0.615, 0.333], [0.021, 0.415, 0.190], [0.021, 0.606, 0.977], [0.385, 0.000, 0.500], [0.385, 0.385, 0.667], [0.394, 0.415, 0.310], [0.394, 0.979, 0.857], [0.415, 0.021, 0.143], [0.415, 0.394, 0.023], [0.585, 0.606, 0.523], [0.585, 0.979, 0.643], [0.606, 0.021, 0.357], [0.606, 0.585, 0.810], [0.615, 0.000, 0.000], [0.615, 0.615, 0.167], [0.979, 0.394, 0.477], [0.979, 0.585, 0.690]]
}